{
  "formula": "Sc6Ga3Ir",
  "functional": "PBE",
  "state": "relaxed",
  "lattice": [[-4.056, 2.420, 0.652], [-0.482, -2.905, 7.788], [5.316, 8.852, 0.210]],
  "species": ["Sc", "Sc", "Sc", "Sc", "Sc", "Sc", "Sc", "Sc", "Sc", "Sc", "Sc", "Sc", "Ga", "Ga", "Ga", "Ga", "Ga", "Ga", "Ir", "Ir"],
  "fractional_positions": [[0.250, 0.460, 0.087], [0.750, 0.540, 0.913], [0.250, 0.133, 0.167], [0.750, 0.867, 0.833], [0.250, 0.668, 0.670], [0.750, 0.332, 0.330], [0.250, 0.236, 0.500], [0.750, 0.764, 0.500], [0.250, 0.845, 0.314], [0.750, 0.155, 0.686], [0.250, 0.101, 0.868], [0.750, 0.899, 0.132], [0.250, 0.519, 0.378], [0.750, 0.481, 0.622], [0.250, 0.391, 0.789], [0.750, 0.609, 0.211], [0.250, 0.779, 0.974], [0.750, 0.221, 0.026], [0.250, 0.954, 0.596], [0.750, 0.046, 0.404]],
  "crystal_system": "monoclinic",
  "delta_e_f_ev_per_atom": -0.60,
  "spacegroup": "No. 11",
  "volume_a3_per_atom": 19.5
}


{
  "formula": "Sc2Ga2SiIr5",
  "functional": "PBE",
  "state": "relaxed",
  "lattice": [[3.463, 0.000, 0.000], [0.000, 9.537, 0.000], [0.000, 0.000, 9.537]],
  "species": ["Sc", "Sc", "Sc", "Sc", "Ga", "Ga", "Ga", "Ga", "Si", "Si", "Ir", "Ir", "Ir", "Ir", "Ir", "Ir", "Ir", "Ir", "Ir", "Ir"],
  "fractional_positions": [[0.000, 0.671, 0.171], [0.000, 0.329, 0.829], [0.000, 0.171, 0.329], [0.000, 0.829, 0.671], [0.000, 0.130, 0.630], [0.000, 0.870, 0.370], [0.000, 0.630, 0.870], [0.000, 0.370, 0.130], [0.000, 0.000, 0.000], [0.000, 0.500, 0.500], [0.500, 0.196, 0.065], [0.500, 0.804, 0.935], [0.500, 0.065, 0.804], [0.500, 0.696, 0.435], [0.500, 0.935, 0.196], [0.500, 0.304, 0.565], [0.500, 0.565, 0.696], [0.500, 0.435, 0.304], [0.500, 0.500, 0.000], [0.500, 0.000, 0.500]],
  "crystal_system": "tetragonal",
  "spacegroup": "No. 127",
  "e_form_raw_ev_per_atom": -0.639,
  "volume_a3_per_atom": 15.7
}


no.,total magnetization (μB per formula unit)
1,0.00
2,0.00